<1>
! PBE Zr6RuRh, relaxed; values from VASP
&SYSTEM
  ibrav = 0, nat = 8, ntyp = 3
/
ATOMIC_SPECIES
Zr 91.22 Zr.upf
Ru 101.07 Ru.upf
Rh 102.91 Rh.upf
CELL_PARAMETERS angstrom
-3.8105 2.5256 -0.9933
-2.5617 -2.7819 2.7539
-1.7636 4.3040 6.6807
ATOMIC_POSITIONS crystal
Zr 0.7492 0.7492 0.5016
Zr 0.6094 0.1094 0.7812
Zr 0.1094 0.6094 0.7812
Zr 0.3906 0.8906 0.2188
Zr 0.2508 0.2508 0.4984
Zr 0.8906 0.3906 0.2188
Ru 0.5000 0.5000 0.0000
Rh 0.0000 0.0000 0.0000
! * DOS(E_F): 0.971 states/eV/atom
! * space group: No. 139

<2>
! PBE Zr6RuRh, relaxed; values from VASP
&SYSTEM
  ibrav = 0, nat = 8, ntyp = 3
/
ATOMIC_SPECIES
Zr 91.22 Zr.upf
Ru 101.07 Ru.upf
Rh 102.91 Rh.upf
CELL_PARAMETERS angstrom
6.0538 0.7581 0.0000
2.2205 5.6611 0.0000
1.1102 2.8306 5.3796
ATOMIC_POSITIONS crystal
Zr 0.7476 0.4520 0.5930
Zr 0.7476 0.0450 0.4070
Zr 0.2524 0.9550 0.5930
Zr 0.2524 0.5480 0.4070
Zr 0.7500 0.7492 0.0000
Zr 0.2500 0.2508 0.0000
Ru 0.5000 0.5000 0.0000
Rh 0.0000 0.0000 0.0000
! * DOS(E_F): 1.142 states/eV/atom
! * space group: No. 12

<1> is favored, and the nearest alternative lies 344 meV/atom above it.

<1>
! PBE ZrRu2Rh2, relaxed; values from VASP
&SYSTEM
  ibrav = 0, nat = 10, ntyp = 3
/
ATOMIC_SPECIES
Ru 101.07 Ru.upf
Rh 102.91 Rh.upf
Zr 91.22 Zr.upf
CELL_PARAMETERS angstrom
-7.2490 -1.9446 -0.4244
1.9620 -7.2511 -0.2874
-0.1248 -0.1445 2.7929
ATOMIC_POSITIONS crystal
Ru 0.3800 0.8800 0.0000
Ru 0.8800 0.6200 0.0000
Ru 0.6200 0.1200 0.0000
Ru 0.1200 0.3800 0.0000
Rh 0.1770 0.6770 0.5000
Rh 0.6770 0.8230 0.5000
Rh 0.8230 0.3230 0.5000
Rh 0.3230 0.1770 0.5000
Zr 0.0000 0.0000 0.0000
Zr 0.5000 0.5000 0.0000
! * DOS(E_F): 1.376 states/eV/atom
! * space group: No. 127

<2>
! PBE ZrRu2Rh2, relaxed; values from VASP
&SYSTEM
  ibrav = 0, nat = 10, ntyp = 3
/
ATOMIC_SPECIES
Ru 101.07 Ru.upf
Rh 102.91 Rh.upf
Zr 91.22 Zr.upf
CELL_PARAMETERS angstrom
7.4996 0.0000 0.0000
0.0000 7.4996 0.0000
0.0000 0.0000 2.8130
ATOMIC_POSITIONS crystal
Ru 0.1746 0.6746 0.5000
Ru 0.6746 0.8254 0.5000
Ru 0.8254 0.3254 0.5000
Ru 0.3254 0.1746 0.5000
Rh 0.3770 0.8770 0.0000
Rh 0.8770 0.6230 0.0000
Rh 0.6230 0.1230 0.0000
Rh 0.1230 0.3770 0.0000
Zr 0.0000 0.0000 0.0000
Zr 0.5000 0.5000 0.0000
! * DOS(E_F): 1.430 states/eV/atom
! * space group: No. 127

<1> is favored, and the nearest alternative lies 15 meV/atom above it.

<1>
! PBE RhS4, relaxed; values from VASP
&SYSTEM
  ibrav = 0, nat = 10, ntyp = 2
/
ATOMIC_SPECIES
Rh 102.91 Rh.upf
S 32.06 S.upf
CELL_PARAMETERS angstrom
4.6894 0.0000 0.0000
0.0000 6.8533 -0.2875
0.0000 0.1160 6.5805
ATOMIC_POSITIONS crystal
Rh 0.0000 0.0000 0.0000
Rh 0.5000 0.0000 0.5000
S 0.3328 0.1767 0.2156
S 0.8328 0.8233 0.2844
S 0.6672 0.8233 0.7844
S 0.1672 0.1767 0.7156
S 0.8253 0.2580 0.5518
S 0.3253 0.7420 0.9482
S 0.1747 0.7420 0.4482
S 0.6747 0.2580 0.0518
! * DOS(E_F): 0.631 states/eV/atom
! * space group: No. 14

<2>
! PBE RhS4, relaxed; values from VASP
&SYSTEM
  ibrav = 0, nat = 5, ntyp = 2
/
ATOMIC_SPECIES
S 32.06 S.upf
Rh 102.91 Rh.upf
CELL_PARAMETERS angstrom
-4.2929 -0.9421 1.3833
1.3426 -4.2123 1.2978
0.9992 1.6122 4.1991
ATOMIC_POSITIONS crystal
S 0.0000 0.0000 0.0000
S 0.5000 0.0000 0.5000
S 0.0000 0.5000 0.5000
S 0.5000 0.5000 0.0000
Rh 0.5000 0.5000 0.5000
! * DOS(E_F): 1.380 states/eV/atom
! * space group: No. 221

<1> is favored, and the nearest alternative lies 1008 meV/atom above it.